[1]
Pa2P3Rh | GGA-PBE | optimized geometry

```
data_Pa2P3Rh
_space_group_name_H-M_alt 'P 1'
_space_group_IT_number 1
_space_group_name_Hall 'P 1'
_cell_length_a 5.726
_cell_length_b 7.668
_cell_length_c 6.380
_cell_angle_alpha 107.51
_cell_angle_beta 116.66
_cell_angle_gamma 90.00
loop_
_atom_site_label
_atom_site_type_symbol
_atom_site_fract_x
_atom_site_fract_y
_atom_site_fract_z
P1 P 0.848 0.431 0.728
P2 P 0.880 0.931 0.728
P3 P 0.505 0.250 0.000
P4 P 0.120 0.069 0.272
P5 P 0.495 0.750 0.000
P6 P 0.152 0.569 0.272
Rh1 Rh 0.092 0.250 0.000
Rh2 Rh 0.908 0.750 0.000
Pa1 Pa 0.693 0.589 0.355
Pa2 Pa 0.307 0.411 0.645
Pa3 Pa 0.338 0.911 0.645
Pa4 Pa 0.662 0.089 0.355
```

Summary:
The value obtained for the raw total energy is -8.019 eV per atom. The space group is No. 15. Its formation energy is -0.924 eV/atom. For the magnetization, the calculation gives 0.00 μB/cell.

[2]
Pa2P2Rh | GGA-PBE | optimized geometry

```
data_Pa2P2Rh
_space_group_name_H-M_alt 'P 1'
_space_group_IT_number 1
_space_group_name_Hall 'P 1'
_cell_length_a 3.918
_cell_length_b 5.623
_cell_length_c 9.837
_cell_angle_alpha 106.94
_cell_angle_beta 90.00
_cell_angle_gamma 90.00
loop_
_atom_site_label
_atom_site_type_symbol
_atom_site_fract_x
_atom_site_fract_y
_atom_site_fract_z
P1 P 0.250 0.927 0.817
P2 P 0.750 0.296 0.608
P3 P 0.750 0.073 0.183
P4 P 0.250 0.704 0.392
Pa1 Pa 0.750 0.576 0.174
Pa2 Pa 0.250 0.424 0.826
Pa3 Pa 0.750 0.797 0.605
Pa4 Pa 0.250 0.203 0.395
Rh1 Rh 0.250 0.207 0.063
Rh2 Rh 0.750 0.793 0.937
```

Summary:
The value obtained for the raw total energy is -8.486 eV per atom. The space group is No. 11. Its formation energy is -1.053 eV/atom. For the magnetization, the calculation gives 0.00 μB/cell.

[3]
Pa2PRh3 | GGA-PBE | optimized geometry

```
data_Pa2PRh3
_space_group_name_H-M_alt 'P 1'
_space_group_IT_number 1
_space_group_name_Hall 'P 1'
_cell_length_a 5.870
_cell_length_b 5.870
_cell_length_c 8.313
_cell_angle_alpha 116.55
_cell_angle_beta 116.55
_cell_angle_gamma 74.58
loop_
_atom_site_label
_atom_site_type_symbol
_atom_site_fract_x
_atom_site_fract_y
_atom_site_fract_z
Rh1 Rh 0.625 0.625 0.804
Rh2 Rh 0.375 0.375 0.196
Rh3 Rh 0.821 0.821 0.196
Rh4 Rh 0.179 0.179 0.804
Rh5 Rh 0.147 0.147 0.293
Rh6 Rh 0.853 0.853 0.707
Pa1 Pa 0.750 0.250 0.500
Pa2 Pa 0.748 0.252 0.000
Pa3 Pa 0.252 0.748 0.000
Pa4 Pa 0.250 0.750 0.500
P1 P 0.680 0.680 0.360
P2 P 0.320 0.320 0.640
```

Summary:
The value obtained for the raw total energy is -8.612 eV per atom. The space group is No. 69. Its formation energy is -0.869 eV/atom. For the magnetization, the calculation gives 0.00 μB/cell.

[4]
Pa4PRh12 | GGA-PBE | optimized geometry

```
data_Pa4PRh12
_space_group_name_H-M_alt 'P 1'
_space_group_IT_number 1
_space_group_name_Hall 'P 1'
_cell_length_a 7.164
_cell_length_b 7.164
_cell_length_c 7.164
_cell_angle_alpha 109.47
_cell_angle_beta 109.47
_cell_angle_gamma 109.47
loop_
_atom_site_label
_atom_site_type_symbol
_atom_site_fract_x
_atom_site_fract_y
_atom_site_fract_z
Rh1 Rh 0.729 0.000 0.729
Rh2 Rh 0.500 0.750 0.250
Rh3 Rh 0.250 0.500 0.750
Rh4 Rh 0.000 0.271 0.271
Rh5 Rh 0.750 0.250 0.500
Rh6 Rh 0.500 0.250 0.750
Rh7 Rh 0.750 0.500 0.250
Rh8 Rh 0.000 0.729 0.729
Rh9 Rh 0.271 0.000 0.271
Rh10 Rh 0.729 0.729 0.000
Rh11 Rh 0.271 0.271 0.000
Rh12 Rh 0.250 0.750 0.500
Pa1 Pa 0.000 0.000 0.500
Pa2 Pa 0.000 0.500 0.000
Pa3 Pa 0.500 0.500 0.500
Pa4 Pa 0.500 0.000 0.000
P1 P 0.000 0.000 0.000
```

Summary:
The value obtained for the raw total energy is -8.654 eV per atom. The space group is No. 229. Its formation energy is -0.912 eV/atom. For the magnetization, the calculation gives 0.00 μB/cell.

What is the formula in the fourth record? Pa4PRh12